Entry 1:
The following is a DFT calculation (PBE) of BeIrPb2 after structural relaxation.

As for the volume: 85.1 Å³ per cell. For the energy of formation, the calculation gives 0.0204 eV per atom.

It has space group P4mm (No. 99), with a = 3.138 Å, b = 3.138 Å, c = 8.645 Å, α = 90.00°, β = 90.00° and γ = 90.00°. Symmetry generates all atoms from Be at (0.000, 0.000, 0.000), Ir at (0.500, 0.500, 0.082), Pb at (0.000, 0.000, 0.336) and Pb at (0.500, 0.500, 0.739).

=====

Entry 2:
The following is a DFT calculation (PBE) of La2TmTl3S6 after structural relaxation.

As for the volume: 678.9 Å³ per cell. As for the formation energy (no corrections): -1.51 eV per atom.

It has space group C2/m (No. 12), with a = 7.250 Å, b = 12.543 Å, c = 7.845 Å, α = 90.00°, β = 107.88° and γ = 90.00°. Symmetry generates all atoms from La at (0.000, 0.167, 0.000), Tm at (0.000, 0.500, 0.000), Tl at (0.000, 0.000, 0.500), Tl at (0.000, 0.333, 0.500), S at (0.226, 0.341, 0.200) and S at (0.250, 0.000, 0.204).

=====

Entry 3:
The following is a DFT calculation (PBE) of TlAs2PSe after structural relaxation.

As for the volume: 147.9 Å³ per cell. The polymorph energy (0 for the lowest one) comes out at 1026 meV/atom. As for the formation energy (no corrections): 1.45 eV per atom.

It has space group P4/mmm (No. 123), with a = 5.309 Å, b = 5.309 Å, c = 5.247 Å, α = 90.00°, β = 90.00° and γ = 90.00°. Symmetry generates all atoms from Tl at (0.000, 0.000, 0.000), As at (0.000, 0.500, 0.000), P at (0.500, 0.500, 0.500) and Se at (0.000, 0.000, 0.500).